VASP calculation (PBE) on crystalline NdDy2ThSc4 at its relaxed geometry.

The density of states at the Fermi level comes out at 10.90 states/eV/f.u. As for the total energy: -5.799 eV per atom. The magnetic moment is 0.0 μB per formula unit.

The space group is P4/mmm (No. 123) and the conventional cell measures 4.9972, 4.9972 and 9.0685 Å, with angles of 90.00, 90.00 and 90.00 degrees. The inequivalent atoms are Nd at (0.0000, 0.0000, 0.0000), Dy at (0.0000, 0.0000, 0.5000), Dy at (0.5000, 0.5000, 0.0000), Th at (0.5000, 0.5000, 0.5000) and Sc at (0.0000, 0.5000, 0.2543).